No. 1
This record from the Alexandria database describes a relaxed Sc2Al2Br crystal. The functional is PBE-GGA.

Calculated values
Electronic total energy: -4.788 eV per atom
Formation energy (no corrections): -0.42 eV/atom

Cell: 7.134 7.134 4.319 Å, 90.00 90.00 90.00°
Sites, in units of the cell vectors:
Al 0.869 0.369 0.500
Al 0.131 0.631 0.500
Al 0.369 0.131 0.500
Al 0.631 0.869 0.500
Br 0.500 0.500 0.000
Br 0.000 0.000 0.000
Sc 0.662 0.162 0.000
Sc 0.838 0.662 0.000
Sc 0.338 0.838 0.000
Sc 0.162 0.338 0.000


No. 2
This record from the Alexandria database describes a relaxed InWCN2 crystal. The functional is PBE-GGA.

Calculated values
Electronic total energy: -7.448 eV per atom
Formation energy (no corrections): 0.86 eV/atom

Cell: 3.959 4.305 3.959 Å, 90.00 90.00 90.00°
Sites, in units of the cell vectors:
N 0.000 0.000 0.500
N 0.500 0.000 0.000
W 0.000 0.000 0.000
In 0.500 0.500 0.500
C 0.000 0.500 0.000


No. 3
This record from the Alexandria database describes a relaxed TaTeBr2 crystal. The functional is PBE-GGA.

Calculated values
Electronic total energy: -3.676 eV per atom
ΔE to the lowest computed polymorph: 1349 meV per atom
Formation energy (no corrections): 0.91 eV/atom

Cell: 5.291 5.291 3.292 Å, 90.00 90.00 90.00°
Sites, in units of the cell vectors:
Ta 0.500 0.000 0.500
Br 0.500 0.500 0.000
Br 0.000 0.000 0.000
Te 0.000 0.500 0.500


No. 4
This record from the Alexandria database describes a relaxed Li2LaP crystal. The functional is PBE-GGA.

Calculated values
Electronic total energy: -4.215 eV per atom
ΔE_f: -0.674 eV per atom

Cell: 3.978 3.912 6.246 Å, 72.94 90.00 90.00°
Sites, in units of the cell vectors:
P 0.000 0.330 0.470
Li 0.000 0.970 0.174
Li 0.500 0.450 0.213
La 0.500 0.750 0.643


No. 5
This record from the Alexandria database describes a relaxed Th2ZnPd4 crystal. The functional is PBE-GGA.

Calculated values
Electronic total energy: -5.889 eV per atom
ΔE_f: -0.619 eV per atom

Cell: 4.966 5.040 8.250 Å, 92.86 119.91 112.73°
Sites, in units of the cell vectors:
Pd 0.168 0.307 0.348
Pd 0.000 0.500 0.000
Pd 0.500 0.000 0.000
Pd 0.832 0.693 0.652
Th 0.221 0.356 0.722
Th 0.779 0.644 0.278
Zn 0.000 0.000 0.000


No. 6
This record from the Alexandria database describes a relaxed Ac2Pr2Ir3 crystal. The functional is PBE-GGA.

Calculated values
Electronic total energy: -6.904 eV per atom
ΔE_f: -0.567 eV per atom

Cell: 7.906 7.906 7.906 Å, 109.47 109.47 109.47°
Sites, in units of the cell vectors:
Ac 0.877 0.500 0.000
Ac 0.500 0.377 0.500
Ac 0.000 0.000 0.377
Ac 0.623 0.123 0.123
Ir 0.881 0.250 0.631
Ir 0.250 0.869 0.119
Ir 0.619 0.750 0.869
Ir 0.750 0.631 0.381
Ir 0.131 0.381 0.250
Ir 0.369 0.119 0.750
Pr 0.379 0.500 0.000
Pr 0.500 0.879 0.500
Pr 0.121 0.621 0.621
Pr 0.000 0.000 0.879


No. 7
This record from the Alexandria database describes a relaxed NbFeSi crystal. The functional is PBE-GGA.

Calculated values
Electronic total energy: -8.606 eV per atom
Formation energy (no corrections): -0.62 eV/atom

Cell: 3.739 6.221 7.009 Å, 90.00 90.00 90.00°
Sites, in units of the cell vectors:
Fe 0.750 0.147 0.934
Fe 0.750 0.647 0.566
Fe 0.250 0.853 0.066
Fe 0.250 0.353 0.434
Si 0.250 0.721 0.386
Si 0.250 0.221 0.114
Si 0.750 0.779 0.886
Si 0.750 0.279 0.614
Nb 0.750 0.515 0.187
Nb 0.750 0.015 0.313
Nb 0.250 0.485 0.813
Nb 0.250 0.985 0.687


No. 8
This record from the Alexandria database describes a relaxed VCu3Si crystal. The functional is PBE-GGA.

Calculated values
Electronic total energy: -4.736 eV per atom
ΔE to the lowest computed polymorph: 0 meV per atom
Formation energy (no corrections): 0.63 eV/atom

Cell: 4.342 4.342 4.342 Å, 90.00 90.00 90.00°
Sites, in units of the cell vectors:
Si 0.000 0.000 0.000
Cu 0.000 0.500 0.000
Cu 0.500 0.000 0.000
Cu 0.000 0.000 0.500
V 0.500 0.500 0.500


No. 9
This record from the Alexandria database describes a relaxed Na2Cu4Sn5 crystal. The functional is PBE-GGA.

Calculated values
Electronic total energy: -3.530 eV per atom
ΔE_f: 0.018 eV per atom

Cell: 6.343 6.929 7.054 Å, 77.89 63.28 62.76°
Sites, in units of the cell vectors:
Na 0.297 0.747 0.660
Na 0.703 0.253 0.340
Cu 0.288 0.129 0.295
Cu 0.769 0.534 0.929
Cu 0.712 0.871 0.705
Cu 0.231 0.466 0.071
Sn 0.764 0.804 0.156
Sn 0.000 0.500 0.500
Sn 0.236 0.196 0.844
Sn 0.276 0.804 0.156
Sn 0.724 0.196 0.844


No. 10
This record from the Alexandria database describes a relaxed Er3Np crystal. The functional is PBE-GGA.

Calculated values
Electronic total energy: -6.369 eV per atom
ΔE to the lowest computed polymorph: 0 meV per atom
ΔE_f: 0.288 eV per atom

Cell: 3.366 6.166 6.636 Å, 117.68 104.69 90.00°
Sites, in units of the cell vectors:
Np 0.000 0.009 0.000
Er 0.500 0.504 0.000
Er 0.748 0.075 0.496
Er 0.252 0.579 0.504


No. 11
This record from the Alexandria database describes a relaxed CeDy3HoTm crystal. The functional is PBE-GGA.

Calculated values
Electronic total energy: -4.641 eV per atom
ΔE_f: 0.158 eV per atom

Cell: 5.591 6.576 11.295 Å, 90.00 90.00 115.15°
Sites, in units of the cell vectors:
Dy 0.327 0.654 0.530
Dy 0.327 0.654 0.970
Dy 0.858 0.716 0.250
Dy 0.142 0.284 0.750
Dy 0.673 0.346 0.030
Dy 0.673 0.346 0.470
Tm 0.829 0.658 0.750
Tm 0.171 0.342 0.250
Ce 0.529 0.057 0.750
Ce 0.471 0.943 0.250
Ho 0.000 0.000 0.500
Ho 0.000 0.000 0.000


No. 12
This record from the Alexandria database describes a relaxed ThZn10Ga2 crystal. The functional is PBE-GGA.

Calculated values
Electronic total energy: -2.143 eV per atom
ΔE_f: -0.127 eV per atom

Cell: 5.597 6.760 6.923 Å, 80.36 66.15 65.54°
Sites, in units of the cell vectors:
Zn 0.357 0.646 0.640
Zn 0.497 0.786 0.220
Zn 0.717 0.786 0.780
Zn 0.503 0.214 0.780
Zn 0.500 0.000 0.500
Zn 0.283 0.214 0.220
Zn 0.997 0.646 0.360
Zn 0.000 0.000 0.500
Zn 0.003 0.354 0.640
Zn 0.643 0.354 0.360
Ga 0.000 0.500 0.000
Ga 0.500 0.500 0.000
Th 0.000 0.000 0.000


No. 13
This record from the Alexandria database describes a relaxed Pr3AlGe2 crystal. The functional is PBE-GGA.

Calculated values
Electronic total energy: -5.243 eV per atom
ΔE_f: -0.690 eV per atom

Cell: 4.300 12.240 12.144 Å, 90.00 90.00 90.00°
Sites, in units of the cell vectors:
Ge 0.750 0.988 0.690
Ge 0.250 0.686 0.472
Ge 0.750 0.186 0.028
Ge 0.250 0.488 0.810
Ge 0.250 0.814 0.972
Ge 0.750 0.512 0.190
Ge 0.750 0.314 0.528
Ge 0.250 0.012 0.310
Pr 0.750 0.296 0.802
Pr 0.750 0.617 0.939
Pr 0.750 0.560 0.622
Pr 0.250 0.383 0.061
Pr 0.250 0.060 0.878
Pr 0.250 0.117 0.561
Pr 0.250 0.796 0.698
Pr 0.750 0.940 0.122
Pr 0.250 0.440 0.378
Pr 0.750 0.204 0.302
Pr 0.250 0.704 0.198
Pr 0.750 0.883 0.439
Al 0.250 0.367 0.634
Al 0.250 0.133 0.134
Al 0.750 0.633 0.366
Al 0.750 0.867 0.866


No. 14
This record from the Alexandria database describes a relaxed YSnRu crystal. The functional is PBE-GGA.

Calculated values
Electronic total energy: -6.343 eV per atom
ΔE_f: 0.238 eV per atom

Cell: 3.323 3.323 7.657 Å, 102.53 102.53 90.00°
Sites, in units of the cell vectors:
Sn 0.934 0.934 0.868
Ru 0.759 0.759 0.518
Y 0.157 0.157 0.314


No. 15
This record from the Alexandria database describes a relaxed BaZnCu3 crystal. The functional is PBE-GGA.

Calculated values
Electronic total energy: -3.161 eV per atom
ΔE to the lowest computed polymorph: 0 meV per atom
ΔE_f: -0.064 eV per atom

Cell: 4.237 8.677 5.970 Å, 100.08 90.00 104.13°
Sites, in units of the cell vectors:
Cu 0.928 0.857 0.463
Cu 0.775 0.551 0.420
Cu 0.225 0.449 0.580
Cu 0.646 0.292 0.568
Cu 0.354 0.708 0.432
Cu 0.072 0.143 0.537
Zn 0.499 0.997 0.283
Zn 0.501 0.003 0.717
Ba 0.861 0.722 0.933
Ba 0.139 0.278 0.067


No. 16
This record from the Alexandria database describes a relaxed La2MoRu crystal. The functional is PBE-GGA.

Calculated values
Electronic total energy: -6.924 eV per atom
ΔE to the lowest computed polymorph: 505 meV per atom
ΔE_f: 0.566 eV per atom

Cell: 9.085 9.085 9.085 Å, 22.38 22.38 22.38°
Sites, in units of the cell vectors:
Mo 0.250 0.250 0.250
La 0.495 0.495 0.495
La 0.005 0.005 0.005
Ru 0.750 0.750 0.750